A plane-wave DFT calculation with PBE was carried out for a relaxed structure of Re3ClF.

Unit cell a=4.358 b=4.358 c=4.358 alpha=90.00 beta=90.00 gamma=90.00
Space group Pm-3m (No. 221)
Symmetry-distinct sites (fractional):
Re: 0.000 0.000 0.500
Cl: 0.000 0.000 0.000
F: 0.500 0.500 0.500

Calculated values
E_form (uncorrected) in eV per atom: 2.046
Energy relative to the lowest polymorph listed for this composition in eV/atom: 0.000
Density of states at the Fermi level in states/eV/f.u.: 4.961